Record 1
! PaAl10Rh2, relaxed, DFT PBE; values from VASP
&SYSTEM
  ibrav = 0, nat = 26, ntyp = 3
/
ATOMIC_SPECIES
Pa 231.04 Pa.upf
Al 26.98 Al.upf
Rh 102.91 Rh.upf
CELL_PARAMETERS angstrom
-1.3185 1.3278 6.5687
-1.2440 -6.7131 0.1885
8.8099 -1.5744 2.0870
ATOMIC_POSITIONS crystal
Pa 0.8822 0.1178 0.7500
Pa 0.1178 0.8822 0.2500
Al 0.6204 0.3796 0.9414
Al 0.1365 0.3982 0.2500
Al 0.2170 0.2170 0.5000
Al 0.3796 0.6204 0.4414
Al 0.4782 0.2267 0.2500
Al 0.7830 0.7830 0.5000
Al 0.5218 0.7733 0.7500
Al 0.8435 0.1565 0.3986
Al 0.8435 0.1565 0.1014
Al 0.3982 0.1365 0.7500
Al 0.7733 0.5218 0.2500
Al 0.8635 0.6018 0.7500
Al 0.1565 0.8435 0.6014
Al 0.7830 0.7830 0.0000
Al 0.1565 0.8435 0.8986
Al 0.2170 0.2170 0.0000
Al 0.3796 0.6204 0.0586
Al 0.2267 0.4782 0.7500
Al 0.6204 0.3796 0.5586
Al 0.6018 0.8635 0.2500
Rh 0.5000 0.0000 0.5000
Rh 0.0000 0.5000 0.5000
Rh 0.0000 0.5000 0.0000
Rh 0.5000 0.0000 0.0000
! energy	-5.231	eV per atom
! energy relative to the elements	-0.49	eV/atom



Record 2
! PaAl2Rh, relaxed, DFT PBE; values from VASP
&SYSTEM
  ibrav = 0, nat = 4, ntyp = 3
/
ATOMIC_SPECIES
Pa 231.04 Pa.upf
Rh 102.91 Rh.upf
Al 26.98 Al.upf
CELL_PARAMETERS angstrom
3.0460 0.0000 0.0000
0.0000 3.0460 0.0000
0.0000 0.0000 7.4782
ATOMIC_POSITIONS crystal
Pa 0.5000 0.5000 0.5000
Rh 0.5000 0.5000 0.0000
Al 0.0000 0.0000 0.8049
Al 0.0000 0.0000 0.1951
! energy	-6.698	eV per atom
! energy relative to the elements	-0.62	eV/atom
! distance to the lowest polymorph of the same formula	0	meV per atom



Record 3
! Pa2AlRh, relaxed, DFT PBE; values from VASP
&SYSTEM
  ibrav = 0, nat = 4, ntyp = 3
/
ATOMIC_SPECIES
Pa 231.04 Pa.upf
Al 26.98 Al.upf
Rh 102.91 Rh.upf
CELL_PARAMETERS angstrom
-0.7104 -2.8056 -1.0307
1.0667 -0.9534 -2.7187
8.8577 -5.2387 3.5765
ATOMIC_POSITIONS crystal
Pa 0.9062 0.9062 0.2814
Pa 0.0938 0.0938 0.7186
Al 0.0000 0.0000 0.0000
Rh 0.5000 0.5000 0.5000
! energy	-7.438	eV per atom
! energy relative to the elements	0.08	eV/atom
! distance to the lowest polymorph of the same formula	492	meV per atom



Record 4
! Pa2AlRh, relaxed, DFT PBE; values from VASP
&SYSTEM
  ibrav = 0, nat = 4, ntyp = 3
/
ATOMIC_SPECIES
Pa 231.04 Pa.upf
Rh 102.91 Rh.upf
Al 26.98 Al.upf
CELL_PARAMETERS angstrom
4.4083 0.0000 0.0000
0.0000 4.2695 0.0000
0.0000 0.0000 4.2695
ATOMIC_POSITIONS crystal
Pa 0.0000 0.5000 0.0000
Pa 0.0000 0.0000 0.5000
Rh 0.5000 0.5000 0.5000
Al 0.5000 0.0000 0.0000
! energy	-7.930	eV per atom
! energy relative to the elements	-0.41	eV/atom
! distance to the lowest polymorph of the same formula	0	meV per atom



Record 5
! PaAl3Rh, relaxed, DFT PBE; values from VASP
&SYSTEM
  ibrav = 0, nat = 20, ntyp = 3
/
ATOMIC_SPECIES
Al 26.98 Al.upf
Rh 102.91 Rh.upf
Pa 231.04 Pa.upf
CELL_PARAMETERS angstrom
-2.6081 -3.0732 0.7700
5.8871 -5.5018 -2.0182
3.3138 -0.2319 10.2985
ATOMIC_POSITIONS crystal
Al 0.7500 0.4424 0.9129
Al 0.2500 0.3989 0.7083
Al 0.2500 0.3554 0.2856
Al 0.2500 0.0576 0.4129
Al 0.7500 0.6011 0.2917
Al 0.7500 0.6446 0.7144
Al 0.7500 0.1011 0.2083
Al 0.2500 0.8989 0.7917
Al 0.7500 0.9424 0.5871
Al 0.2500 0.5576 0.0871
Al 0.7500 0.1446 0.7856
Al 0.2500 0.8554 0.2144
Rh 0.2500 0.1170 0.6425
Rh 0.7500 0.3830 0.1425
Rh 0.7500 0.8830 0.3575
Rh 0.2500 0.6170 0.8575
Pa 0.2500 0.6818 0.5064
Pa 0.7500 0.3182 0.4936
Pa 0.2500 0.1818 0.9936
Pa 0.7500 0.8182 0.0064
! energy	-6.201	eV per atom
! energy relative to the elements	-0.59	eV/atom
! distance to the lowest polymorph of the same formula	0	meV per atom



Record 6
! Pa2AlRh2, relaxed, DFT PBE; values from VASP
&SYSTEM
  ibrav = 0, nat = 5, ntyp = 3
/
ATOMIC_SPECIES
Al 26.98 Al.upf
Pa 231.04 Pa.upf
Rh 102.91 Rh.upf
CELL_PARAMETERS angstrom
4.5159 0.0000 0.0000
2.2579 4.7860 0.0383
2.2579 1.3185 4.6010
ATOMIC_POSITIONS crystal
Al 0.0000 0.0000 0.0000
Pa 0.8087 0.6913 0.6913
Pa 0.1913 0.3087 0.3087
Rh 0.5000 0.7468 0.2532
Rh 0.5000 0.2532 0.7468
! energy	-8.246	eV per atom
! energy relative to the elements	-0.76	eV/atom



Record 7
! Pa2Al8Rh, relaxed, DFT PBE; values from VASP
&SYSTEM
  ibrav = 0, nat = 11, ntyp = 3
/
ATOMIC_SPECIES
Al 26.98 Al.upf
Pa 231.04 Pa.upf
Rh 102.91 Rh.upf
CELL_PARAMETERS angstrom
-2.2176 3.2949 1.6705
-0.0124 -1.9551 3.8396
9.6462 5.1476 2.6523
ATOMIC_POSITIONS crystal
Al 0.5000 0.0000 0.1213
Al 0.5000 0.0000 0.8787
Al 0.0000 0.5000 0.8787
Al 0.0000 0.5000 0.1213
Al 0.5000 0.0000 0.5000
Al 0.5000 0.5000 0.3060
Al 0.0000 0.5000 0.5000
Al 0.5000 0.5000 0.6940
Pa 0.0000 0.0000 0.6905
Pa 0.0000 0.0000 0.3095
Rh 0.0000 0.0000 0.0000
! energy	-5.557	eV per atom
! energy relative to the elements	-0.44	eV/atom



Record 8
! PaAl3Rh2, relaxed, DFT PBE; values from VASP
&SYSTEM
  ibrav = 0, nat = 12, ntyp = 3
/
ATOMIC_SPECIES
Pa 231.04 Pa.upf
Al 26.98 Al.upf
Rh 102.91 Rh.upf
CELL_PARAMETERS angstrom
4.1060 0.0000 0.0000
0.0000 6.6056 0.0000
0.0000 0.0000 7.7400
ATOMIC_POSITIONS crystal
Pa 0.5000 0.0311 0.4160
Pa 0.5000 0.5311 0.5840
Al 0.5000 0.1327 0.8152
Al 0.0000 0.8670 0.7157
Al 0.0000 0.9585 0.0818
Al 0.5000 0.6327 0.1848
Al 0.0000 0.3670 0.2843
Al 0.0000 0.4585 0.9182
Rh 0.5000 0.2641 0.1127
Rh 0.5000 0.7641 0.8873
Rh 0.0000 0.7467 0.3875
Rh 0.0000 0.2467 0.6125
! energy	-6.641	eV per atom
! energy relative to the elements	-0.74	eV/atom



Record 9
! PaAl4Rh2, relaxed, DFT PBE; values from VASP
&SYSTEM
  ibrav = 0, nat = 28, ntyp = 3
/
ATOMIC_SPECIES
Al 26.98 Al.upf
Rh 102.91 Rh.upf
Pa 231.04 Pa.upf
CELL_PARAMETERS angstrom
-3.3925 -1.6133 -1.8896
0.7530 -5.6415 3.4650
-9.9620 6.3341 12.4777
ATOMIC_POSITIONS crystal
Al 0.7500 0.0064 0.0737
Al 0.2500 0.9936 0.9263
Al 0.7500 0.1517 0.8145
Al 0.7500 0.6704 0.9645
Al 0.2500 0.6517 0.6855
Al 0.7500 0.7572 0.8062
Al 0.7500 0.7428 0.3062
Al 0.2500 0.5064 0.4263
Al 0.2500 0.3296 0.0355
Al 0.7500 0.4936 0.5737
Al 0.2500 0.1704 0.5355
Al 0.2500 0.2428 0.1938
Al 0.2500 0.2572 0.6938
Al 0.2500 0.8483 0.1855
Al 0.7500 0.8296 0.4645
Al 0.7500 0.3483 0.3145
Rh 0.7500 0.2593 0.9589
Rh 0.2500 0.9515 0.7785
Rh 0.2500 0.7407 0.0411
Rh 0.7500 0.4515 0.7215
Rh 0.2500 0.5485 0.2785
Rh 0.7500 0.2407 0.4589
Rh 0.7500 0.0485 0.2215
Rh 0.2500 0.7593 0.5411
Pa 0.2500 0.0330 0.3628
Pa 0.7500 0.9670 0.6372
Pa 0.7500 0.5330 0.1372
Pa 0.2500 0.4670 0.8628
! energy	-6.307	eV per atom
! energy relative to the elements	-0.71	eV/atom



Record 10
! PaAlRh2, relaxed, DFT PBE; values from VASP
&SYSTEM
  ibrav = 0, nat = 8, ntyp = 3
/
ATOMIC_SPECIES
Al 26.98 Al.upf
Rh 102.91 Rh.upf
Pa 231.04 Pa.upf
CELL_PARAMETERS angstrom
-0.2096 -3.8917 -1.9044
3.1862 -1.8865 3.5044
-5.0868 -1.5745 3.7774
ATOMIC_POSITIONS crystal
Al 0.5000 0.6790 0.5000
Al 0.0000 0.3210 0.0000
Rh 0.0000 0.6887 0.7190
Rh 0.5000 0.3113 0.2190
Rh 0.5000 0.3113 0.7810
Rh 0.0000 0.6887 0.2810
Pa 0.5000 0.8194 0.0000
Pa 0.0000 0.1806 0.5000
! energy	-7.811	eV per atom
! energy relative to the elements	-0.83	eV/atom



Record 11
! Pa2AlRh2, relaxed, DFT PBE; values from VASP
&SYSTEM
  ibrav = 0, nat = 10, ntyp = 3
/
ATOMIC_SPECIES
Rh 102.91 Rh.upf
Pa 231.04 Pa.upf
Al 26.98 Al.upf
CELL_PARAMETERS angstrom
3.6900 0.0000 0.0000
0.0000 7.4387 0.0000
0.0000 0.0000 7.4387
ATOMIC_POSITIONS crystal
Rh 0.0000 0.6371 0.1371
Rh 0.0000 0.3629 0.8629
Rh 0.0000 0.1371 0.3629
Rh 0.0000 0.8629 0.6371
Pa 0.5000 0.1743 0.6743
Pa 0.5000 0.8257 0.3257
Pa 0.5000 0.3257 0.1743
Pa 0.5000 0.6743 0.8257
Al 0.0000 0.5000 0.5000
Al 0.0000 0.0000 0.0000
! energy	-8.261	eV per atom
! energy relative to the elements	-0.77	eV/atom



Record 12
! PaAlRh2, relaxed, DFT PBE; values from VASP
&SYSTEM
  ibrav = 0, nat = 4, ntyp = 3
/
ATOMIC_SPECIES
Rh 102.91 Rh.upf
Al 26.98 Al.upf
Pa 231.04 Pa.upf
CELL_PARAMETERS angstrom
3.0309 0.0000 0.0000
0.0000 3.0309 0.0000
0.0000 0.0000 7.2233
ATOMIC_POSITIONS crystal
Rh 0.0000 0.0000 0.2078
Rh 0.0000 0.0000 0.7922
Al 0.5000 0.5000 0.0000
Pa 0.5000 0.5000 0.5000
! energy	-7.808	eV per atom
! energy relative to the elements	-0.82	eV/atom



Record 13
! PaAlRuRh, relaxed, DFT PBE; values from VASP
&SYSTEM
  ibrav = 0, nat = 4, ntyp = 4
/
ATOMIC_SPECIES
Al 26.98 Al.upf
Ru 101.07 Ru.upf
Rh 102.91 Rh.upf
Pa 231.04 Pa.upf
CELL_PARAMETERS angstrom
-4.1056 1.8169 1.1897
-3.2286 -2.6710 2.0035
-1.0608 0.6054 4.4811
ATOMIC_POSITIONS crystal
Al 0.7500 0.7500 0.7500
Ru 0.5000 0.5000 0.5000
Rh 0.0000 0.0000 0.0000
Pa 0.2500 0.2500 0.2500
! energy	-8.086	eV per atom
! energy relative to the elements	-0.62	eV/atom



Record 14
! Pa2Al2Si4Rh, relaxed, DFT PBE; values from VASP
&SYSTEM
  ibrav = 0, nat = 9, ntyp = 4
/
ATOMIC_SPECIES
Si 28.09 Si.upf
Pa 231.04 Pa.upf
Al 26.98 Al.upf
Rh 102.91 Rh.upf
CELL_PARAMETERS angstrom
-0.7972 -3.9388 -4.4723
5.5585 0.9157 2.1013
-2.0741 -1.3698 5.4747
ATOMIC_POSITIONS crystal
Si 0.0000 0.2804 0.7196
Si 0.5609 0.2804 0.2804
Si 0.4391 0.7196 0.7196
Si 0.0000 0.7196 0.2804
Pa 0.5000 0.7500 0.2500
Pa 0.5000 0.2500 0.7500
Al 0.0000 0.7087 0.7087
Al 0.0000 0.2913 0.2913
Rh 0.0000 0.0000 0.0000
! energy	-6.709	eV per atom
! ΔE_f (raw)	-0.540	eV/atom



Record 15
! PaAlSi2Rh5, relaxed, DFT PBE; values from VASP
&SYSTEM
  ibrav = 0, nat = 9, ntyp = 4
/
ATOMIC_SPECIES
Rh 102.91 Rh.upf
Si 28.09 Si.upf
Al 26.98 Al.upf
Pa 231.04 Pa.upf
CELL_PARAMETERS angstrom
4.0201 0.0000 0.0000
0.0000 4.0201 0.0000
0.0000 0.0000 9.8740
ATOMIC_POSITIONS crystal
Rh 0.5000 0.5000 0.5000
Rh 0.5000 0.0000 0.1518
Rh 0.5000 0.0000 0.8482
Rh 0.0000 0.5000 0.8482
Rh 0.0000 0.5000 0.1518
Si 0.5000 0.5000 0.7346
Si 0.5000 0.5000 0.2654
Al 0.0000 0.0000 0.0000
Pa 0.0000 0.0000 0.5000
! energy	-7.347	eV per atom
! ΔE_f (raw)	-0.586	eV/atom



Record 16
! PaAlTcRh, relaxed, DFT PBE; values from VASP
&SYSTEM
  ibrav = 0, nat = 4, ntyp = 4
/
ATOMIC_SPECIES
Al 26.98 Al.upf
Rh 102.91 Rh.upf
Pa 231.04 Pa.upf
Tc 98.00 Tc.upf
CELL_PARAMETERS angstrom
-3.2626 -1.4003 -2.9830
-2.2312 -4.0018 0.7146
-4.4617 0.0265 1.2632
ATOMIC_POSITIONS crystal
Al 0.7500 0.7500 0.7500
Rh 0.0000 0.0000 0.0000
Pa 0.2500 0.2500 0.2500
Tc 0.5000 0.5000 0.5000
! energy	-8.300	eV per atom
! energy relative to the elements	-0.56	eV/atom



Record 17
! PaAl2Ru, relaxed, DFT PBE; values from VASP
&SYSTEM
  ibrav = 0, nat = 8, ntyp = 3
/
ATOMIC_SPECIES
Al 26.98 Al.upf
Pa 231.04 Pa.upf
Ru 101.07 Ru.upf
CELL_PARAMETERS angstrom
-1.5289 -4.0159 0.5937
5.0215 -0.0814 0.5292
-0.7142 1.3034 6.9775
ATOMIC_POSITIONS crystal
Al 0.3911 0.7233 0.9444
Al 0.6089 0.2767 0.4444
Al 0.6089 0.2767 0.0556
Al 0.3911 0.7233 0.5556
Pa 0.0463 0.1473 0.7500
Pa 0.9537 0.8527 0.2500
Ru 0.8480 0.5972 0.7500
Ru 0.1520 0.4028 0.2500
! energy	-7.126	eV per atom
! energy relative to the elements	-0.56	eV/atom
! distance to the lowest polymorph of the same formula	0	meV per atom



Record 18
! Pa2AlRu, relaxed, DFT PBE; values from VASP
&SYSTEM
  ibrav = 0, nat = 4, ntyp = 3
/
ATOMIC_SPECIES
Pa 231.04 Pa.upf
Al 26.98 Al.upf
Ru 101.07 Ru.upf
CELL_PARAMETERS angstrom
3.0596 0.0000 0.0000
1.5298 2.6497 0.0000
1.5298 0.8832 10.7337
ATOMIC_POSITIONS crystal
Pa 0.0946 0.0946 0.7161
Pa 0.9054 0.9054 0.2839
Al 0.0000 0.0000 0.0000
Ru 0.5000 0.5000 0.5000
! energy	-7.807	eV per atom
! energy relative to the elements	0.20	eV/atom
! distance to the lowest polymorph of the same formula	502	meV per atom



Record 19
! Pa2AlRu, relaxed, DFT PBE; values from VASP
&SYSTEM
  ibrav = 0, nat = 4, ntyp = 3
/
ATOMIC_SPECIES
Al 26.98 Al.upf
Pa 231.04 Pa.upf
Ru 101.07 Ru.upf
CELL_PARAMETERS angstrom
4.3202 0.0000 0.0000
0.0000 4.2980 0.0000
0.0000 0.0000 4.2980
ATOMIC_POSITIONS crystal
Al 0.5000 0.0000 0.0000
Pa 0.0000 0.5000 0.0000
Pa 0.0000 0.0000 0.5000
Ru 0.5000 0.5000 0.5000
! energy	-8.297	eV per atom
! energy relative to the elements	-0.29	eV/atom
! distance to the lowest polymorph of the same formula	13	meV per atom



Record 20
! PaAl3Ru4, relaxed, DFT PBE; values from VASP
&SYSTEM
  ibrav = 0, nat = 8, ntyp = 3
/
ATOMIC_SPECIES
Al 26.98 Al.upf
Ru 101.07 Ru.upf
Pa 231.04 Pa.upf
CELL_PARAMETERS angstrom
4.2577 0.0000 1.2568
1.9434 3.7883 1.2568
0.0672 0.0411 7.6125
ATOMIC_POSITIONS crystal
Al 0.2430 0.2430 0.2711
Al 0.7570 0.7570 0.7289
Al 0.5000 0.5000 0.5000
Ru 0.3805 0.3805 0.8585
Ru 0.8750 0.8750 0.3750
Ru 0.6195 0.6195 0.1415
Ru 0.1250 0.1250 0.6250
Pa 0.0000 0.0000 0.0000
! energy	-7.904	eV per atom
! energy relative to the elements	-0.68	eV/atom



Record 21
! Pa2AlRu3, relaxed, DFT PBE; values from VASP
&SYSTEM
  ibrav = 0, nat = 6, ntyp = 3
/
ATOMIC_SPECIES
Ru 101.07 Ru.upf
Pa 231.04 Pa.upf
Al 26.98 Al.upf
CELL_PARAMETERS angstrom
-2.1875 1.0811 4.3844
-3.3265 -3.5436 1.2469
1.8063 -2.9247 3.6552
ATOMIC_POSITIONS crystal
Ru 0.0000 0.0000 0.5000
Ru 0.0000 0.5000 0.0000
Ru 0.5000 0.0000 0.0000
Pa 0.6307 0.6307 0.6307
Pa 0.3693 0.3693 0.3693
Al 0.0000 0.0000 0.0000
! energy	-9.013	eV per atom
! energy relative to the elements	-0.59	eV/atom



Record 22
! PaAl2Ru, relaxed, DFT PBE; values from VASP
&SYSTEM
  ibrav = 0, nat = 4, ntyp = 3
/
ATOMIC_SPECIES
Pa 231.04 Pa.upf
Ru 101.07 Ru.upf
Al 26.98 Al.upf
CELL_PARAMETERS angstrom
-1.4596 3.6040 1.7067
-2.8003 2.3768 -2.1311
-5.1242 -0.4965 1.9488
ATOMIC_POSITIONS crystal
Pa 0.0000 0.0000 0.0000
Ru 0.5000 0.5000 0.5000
Al 0.7891 0.7891 0.6327
Al 0.2109 0.2109 0.3673
! energy	-6.823	eV per atom
! energy relative to the elements	-0.26	eV/atom
! distance to the lowest polymorph of the same formula	303	meV per atom



Record 23
! Pa2Al3Ru, relaxed, DFT PBE; values from VASP
&SYSTEM
  ibrav = 0, nat = 6, ntyp = 3
/
ATOMIC_SPECIES
Ru 101.07 Ru.upf
Al 26.98 Al.upf
Pa 231.04 Pa.upf
CELL_PARAMETERS angstrom
4.7261 -0.1619 -2.4573
-3.0238 4.3826 -0.2228
-0.0947 0.2197 5.4898
ATOMIC_POSITIONS crystal
Ru 0.0000 0.0000 0.0000
Al 0.5000 0.5000 0.5000
Al 0.5000 0.0000 0.5000
Al 0.0000 0.0000 0.5000
Pa 0.7333 0.3619 0.0952
Pa 0.2667 0.6381 0.9048
! energy	-7.008	eV per atom
! energy relative to the elements	-0.43	eV/atom



Total magnetization values, unit μB/f.u., following the record order: 0.6; 0.0; 0.0; 0.0; 0.0; 0.0; 0.0; 0.0; 0.0; 0.0; 0.0; 0.0; 0.0; 0.0; 0.3; 0.0; 0.0; 0.0; 0.0; 0.0; 0.0; 0.0; 0.0.